Computed, not measured: crystalline SrSmMgTl at its relaxed geometry at the PBE level of DFT.

Computed properties:
* distance to the lowest polymorph of the same formula: 0.0 meV per atom
* energy: -2.824 eV/atom
* size of the total moment: 0.00 μB/cell
* formation energy: -0.94 eV/f.u.

Unit cell a=3.9748 b=3.9748 c=8.0588 alpha=90.00 beta=90.00 gamma=90.00
Positions (direct):
Sr: 0.0000 0.0000 0.0000
Sm: 0.0000 0.0000 0.4949
Mg: 0.5000 0.5000 0.7201
Tl: 0.5000 0.5000 0.2709


Computed, not measured: crystalline SrSmTmMg at its relaxed geometry at the PBE level of DFT.

Computed properties:
* energy: -2.976 eV/atom
* size of the total moment: 0.00 μB/cell
* formation energy: 0.56 eV/f.u.

Unit cell a=8.1137 b=8.1137 c=8.1137 alpha=90.00 beta=90.00 gamma=90.00
Positions (direct):
Sr: 0.0000 0.0000 0.0000
Sr: 0.0000 0.5000 0.5000
Sr: 0.5000 0.0000 0.5000
Sr: 0.5000 0.5000 0.0000
Sm: 0.0000 0.0000 0.5000
Sm: 0.0000 0.5000 0.0000
Sm: 0.5000 0.0000 0.0000
Sm: 0.5000 0.5000 0.5000
Tm: 0.2500 0.2500 0.2500
Tm: 0.2500 0.7500 0.7500
Tm: 0.7500 0.2500 0.7500
Tm: 0.7500 0.7500 0.2500
Mg: 0.2500 0.2500 0.7500
Mg: 0.2500 0.7500 0.2500
Mg: 0.7500 0.2500 0.2500
Mg: 0.7500 0.7500 0.7500


Computed, not measured: crystalline Tb4Sm3Mg at its relaxed geometry at the PBE level of DFT.

Computed properties:
* distance to the lowest polymorph of the same formula: 183.8 meV per atom
* energy: -4.092 eV/atom
* size of the total moment: 0.00 μB/cell
* formation energy: 1.54 eV/f.u.

Unit cell a=25.7484 b=3.4158 c=5.9123 alpha=90.00 beta=96.04 gamma=90.00
Positions (direct):
Tb: 0.1017 0.0000 0.1934
Tb: 0.2180 0.5000 0.2375
Tb: 0.2820 0.0000 0.7625
Tb: 0.3983 0.5000 0.8066
Tb: 0.6017 0.5000 0.1934
Tb: 0.7180 0.0000 0.2375
Tb: 0.7820 0.5000 0.7625
Tb: 0.8983 0.0000 0.8066
Sm: 0.0000 0.0000 0.5000
Sm: 0.1493 0.0000 0.7163
Sm: 0.3507 0.5000 0.2837
Sm: 0.5000 0.5000 0.5000
Sm: 0.6493 0.5000 0.7163
Sm: 0.8507 0.0000 0.2837
Mg: 0.0000 0.5000 0.0000
Mg: 0.5000 0.0000 0.0000


Computed, not measured: crystalline Tb2SmMg at its relaxed geometry at the PBE level of DFT.

Computed properties:
* distance to the lowest polymorph of the same formula: 102.3 meV per atom
* energy: -3.824 eV/atom
* size of the total moment: 0.00 μB/cell
* formation energy: 0.28 eV/f.u.

Unit cell a=7.8385 b=7.8385 c=7.8385 alpha=90.00 beta=90.00 gamma=90.00
Positions (direct):
Tb: 0.2500 0.2500 0.2500
Tb: 0.2500 0.2500 0.7500
Tb: 0.2500 0.7500 0.2500
Tb: 0.2500 0.7500 0.7500
Tb: 0.7500 0.2500 0.2500
Tb: 0.7500 0.2500 0.7500
Tb: 0.7500 0.7500 0.2500
Tb: 0.7500 0.7500 0.7500
Sm: 0.0000 0.0000 0.0000
Sm: 0.0000 0.5000 0.5000
Sm: 0.5000 0.0000 0.5000
Sm: 0.5000 0.5000 0.0000
Mg: 0.0000 0.0000 0.5000
Mg: 0.0000 0.5000 0.0000
Mg: 0.5000 0.0000 0.0000
Mg: 0.5000 0.5000 0.5000


Computed, not measured: crystalline Tb3Sm3Mg at its relaxed geometry at the PBE level of DFT.

Computed properties:
* distance to the lowest polymorph of the same formula: 0.0 meV per atom
* energy: -4.219 eV/atom
* size of the total moment: 0.07 μB/cell
* formation energy: 0.11 eV/f.u.

Unit cell a=9.5293 b=9.5293 c=5.6532 alpha=90.00 beta=90.00 gamma=120.00
Positions (direct):
Tb: 0.0546 0.2381 0.2500
Tb: 0.1835 0.9454 0.2500
Tb: 0.2381 0.1835 0.7500
Tb: 0.7619 0.8165 0.2500
Tb: 0.8165 0.0546 0.7500
Tb: 0.9454 0.7619 0.7500
Sm: 0.1024 0.4741 0.7500
Sm: 0.3717 0.8976 0.7500
Sm: 0.4741 0.3717 0.2500
Sm: 0.5259 0.6283 0.7500
Sm: 0.6283 0.1024 0.2500
Sm: 0.8976 0.5259 0.2500
Mg: 0.3333 0.6667 0.2500
Mg: 0.6667 0.3333 0.7500


Computed, not measured: crystalline Tb7Sm4Mg at its relaxed geometry at the PBE level of DFT.

Computed properties:
* distance to the lowest polymorph of the same formula: 234.2 meV per atom
* energy: -4.159 eV/atom
* size of the total moment: 0.00 μB/cell
* formation energy: 2.98 eV/f.u.

Unit cell a=6.7217 b=6.7217 c=12.6566 alpha=113.92 beta=113.92 gamma=51.52
Positions (direct):
Tb: 0.0000 0.0000 0.0000
Tb: 0.1345 0.1345 0.4856
Tb: 0.2971 0.2971 0.0737
Tb: 0.4108 0.4108 0.7205
Tb: 0.5892 0.5892 0.2795
Tb: 0.7029 0.7029 0.9263
Tb: 0.8655 0.8655 0.5144
Sm: 0.1302 0.1302 0.7701
Sm: 0.3176 0.3176 0.3537
Sm: 0.6824 0.6824 0.6463
Sm: 0.8698 0.8698 0.2299
Mg: 0.5000 0.5000 0.0000